This record from Alexandria via LeMat-Bulk describes a crystal of LaAlOs relaxed with PBEsol. The functional is meta-GGA SCAN.

Output
For the total DFT energy (no corrections), the calculation gives -40.6757 eV per atom. The value obtained for the density of states at the Fermi level is 0.87 states/eV/atom.

The structure in CIF format:
```
data_LaAlOs
_chemical_formula_sum 'La1 Al1 Os1'
_cell_length_a 3.0445
_cell_length_b 3.0445
_cell_length_c 7.1885
_cell_angle_alpha 90.00
_cell_angle_beta 90.00
_cell_angle_gamma 120.00
_symmetry_space_group_name_H-M 'P 3 m 1'
_symmetry_Int_Tables_number 156
_symmetry_space_group_name_Hall 'P 3 -2"'
loop_
_atom_site_label
_atom_site_fract_x
_atom_site_fract_y
_atom_site_fract_z
La1 0.0000 0.0000 0.0000
Al1 0.6667 0.3333 0.4009
Os1 0.3333 0.6667 0.6534
```



This record from Alexandria via LeMat-Bulk describes a crystal of LaAlOs2 relaxed with PBEsol. The functional is meta-GGA SCAN.

Output
The value obtained for the density of states at the Fermi level is 1.17 states/eV/atom. For the energy above the most stable polymorph in this dataset, the calculation gives 0 meV/atom.

The structure in CIF format:
```
data_LaAlOs2
_chemical_formula_sum 'La4 Al4 Os8'
_cell_length_a 6.5686
_cell_length_b 6.5686
_cell_length_c 6.5686
_cell_angle_alpha 90.00
_cell_angle_beta 90.00
_cell_angle_gamma 90.00
_symmetry_space_group_name_H-M 'F -4 3 m'
_symmetry_Int_Tables_number 216
_symmetry_space_group_name_Hall 'F -4 2 3'
loop_
_atom_site_label
_atom_site_fract_x
_atom_site_fract_y
_atom_site_fract_z
La1 0.0000 0.0000 0.0000
Al1 0.2500 0.2500 0.2500
Os1 0.0000 0.0000 0.5000
Os2 0.2500 0.2500 0.7500
```



This record from Alexandria via LeMat-Bulk describes a crystal of LaAl2Os2 relaxed with PBEsol. The functional is meta-GGA SCAN.

Output
For the total DFT energy (no corrections), the calculation gives -40.9532 eV per atom. The value obtained for the density of states at the Fermi level is 0.83 states/eV/atom.

The structure in CIF format:
```
data_LaAl2Os2
_chemical_formula_sum 'La2 Al4 Os4'
_cell_length_a 4.2481
_cell_length_b 4.2481
_cell_length_c 10.4662
_cell_angle_alpha 90.00
_cell_angle_beta 90.00
_cell_angle_gamma 90.00
_symmetry_space_group_name_H-M 'I 4/m m m'
_symmetry_Int_Tables_number 139
_symmetry_space_group_name_Hall '-I 4 2'
loop_
_atom_site_label
_atom_site_fract_x
_atom_site_fract_y
_atom_site_fract_z
La1 0.0000 0.0000 0.0000
Al1 0.0000 0.5000 0.2500
Os1 0.0000 0.0000 0.3860
```



- What is the formula in the third record?
  LaAl2Os2